(1)
Computed, not measured: a relaxed Re2NiIr crystal at the PBE level of DFT.

```
Re2NiIr
1.0
3.874 0.000 0.000
0.000 2.699 0.005
0.000 2.684 5.326
Ir Ni Re
1 1 2
direct
0.500 0.250 0.250 Ir
0.500 0.750 0.750 Ni
0.000 0.015 0.984 Re
0.000 0.485 0.516 Re
```

## Properties
SG   Pmmm
ΔE to the lowest computed polymorph   100 meV/atom

***

(2)
Computed, not measured: a relaxed Re2Ni2Ir crystal at the PBE level of DFT.

```
Re2Ni2Ir
1.0
6.907 0.000 0.000
0.000 6.907 0.000
0.000 0.000 2.790
Re Ir Ni
4 2 4
direct
0.174 0.674 0.500 Re
0.674 0.826 0.500 Re
0.826 0.326 0.500 Re
0.326 0.174 0.500 Re
0.000 0.000 0.000 Ir
0.500 0.500 0.000 Ir
0.377 0.877 0.000 Ni
0.877 0.623 0.000 Ni
0.623 0.123 0.000 Ni
0.123 0.377 0.000 Ni
```

## Properties
SG   P4/mbm

***

(3)
Computed, not measured: a relaxed ReNi2Ir crystal at the PBE level of DFT.

```
ReNi2Ir
1.0
-2.752 -3.146 -1.879
-1.555 -2.904 3.185
0.101 4.575 -0.242
Re Ir Ni
1 1 2
direct
0.500 0.500 0.000 Re
0.750 0.250 0.500 Ir
0.000 0.000 0.000 Ni
0.250 0.750 0.500 Ni
```

## Properties
SG   I-4m2
ΔE to the lowest computed polymorph   0 meV/atom

***

(4)
Computed, not measured: a relaxed ReNi2Ir crystal at the PBE level of DFT.

```
ReNi2Ir
1.0
-3.019 0.649 2.082
1.477 -0.278 2.229
2.518 4.781 2.161
Re Ir Ni
1 1 2
direct
0.000 0.505 0.495 Re
0.500 0.753 0.748 Ir
0.000 0.985 0.015 Ni
0.500 0.258 0.241 Ni
```

## Properties
SG   Pm
ΔE to the lowest computed polymorph   13 meV/atom

***

Number 1: electronic total energy -9.93 eV/atom, DOS at the Fermi energy 0.79 states/eV/atom, energy of formation from the pure elements -17 kJ/mol of formula units. Number 2: electronic total energy -8.85 eV/atom, DOS at the Fermi energy 0.54 states/eV/atom, energy of formation from the pure elements 102 kJ/mol of formula units. Number 3: electronic total energy -8.30 eV/atom, DOS at the Fermi energy 0.94 states/eV/atom, energy of formation from the pure elements -33 kJ/mol of formula units. Number 4: electronic total energy -8.29 eV/atom, DOS at the Fermi energy 0.87 states/eV/atom, energy of formation from the pure elements -28 kJ/mol of formula units.